Entry 1:
A plane-wave DFT calculation with PBE-GGA was carried out for a relaxed structure of SrPb3S.

abc: 6.172 6.172 6.172
angles: 90.00 90.00 90.00
Each line ends with the local moment (μB).
Element x y z (fractional)
Pb1 0.000 0.000 0.500  0.17
S1 0.500 0.500 0.500  0.43
Pb2 0.000 0.500 0.000  0.22
Sr1 0.000 0.000 0.000  0.22
Pb3 0.500 0.000 0.000  0.16

As for the uncorrected formation energy: 99 kJ/mol of atoms. Its space group is Pm-3m (221). The offset from the most stable computed form comes out at 5.90 eV/f.u.


Entry 2:
A plane-wave DFT calculation with PBE-GGA was carried out for a relaxed structure of Pm2Pr5Bi5.

abc: 4.581 7.888 13.288
angles: 109.25 90.00 106.88
Element x y z (fractional)
Bi1 0.308 0.616 0.211
Pm1 0.044 0.088 0.786
Pr1 0.339 0.678 0.963
Bi2 0.692 0.384 0.789
Pr2 0.277 0.555 0.658
Bi3 0.880 0.761 0.569
Pr3 0.723 0.445 0.342
Pm2 0.956 0.912 0.214
Bi4 0.000 0.000 0.000
Pr4 0.661 0.322 0.037
Pr5 0.500 0.000 0.500
Bi5 0.120 0.239 0.431

Its space group is C2/m (12). The calculated total energy comes out at -61.2 eV per cell.


Entry 3:
A plane-wave DFT calculation with PBE-GGA was carried out for a relaxed structure of SrBi.

abc: 7.719 7.719 7.719
angles: 90.00 90.00 90.00
Each line ends with the local moment (μB).
Element x y z (fractional)
Bi1 0.000 0.500 0.500  0.57
Bi2 0.500 0.500 0.000  0.57
Sr1 0.750 0.750 0.250  0.06
Bi3 0.500 0.000 0.500  0.57
Sr2 0.250 0.750 0.750  0.06
Sr3 0.750 0.250 0.750  0.06
Sr4 0.250 0.250 0.250  0.06
Bi4 0.000 0.000 0.000  0.57

Its space group is F-43m (216). The calculated total energy comes out at -23.4 eV per cell.


Entry 4:
A plane-wave DFT calculation with PBE-GGA was carried out for a relaxed structure of Si2Te.

abc: 3.619 3.619 4.907
angles: 90.00 90.00 90.00
Element x y z (fractional)
Te1 0.000 0.000 0.000
Si1 0.000 0.500 0.500
Si2 0.500 0.000 0.500

As for the uncorrected formation energy: 43 kJ/mol of atoms. Its space group is P4/mmm (123). The offset from the most stable computed form comes out at 1.28 eV/f.u.


| no. | DOS(E_F) (states/eV/f.u.) |
| --- | --- |
| 1 | 6.89 |
| 2 | 9.94 |
| 3 | 3.70 |
| 4 | 1.58 |